[1]
DFT (PBE) results for a relaxed structure of NaZrCd2Sn.

The structure in POSCAR format:
```
NaZrCd2Sn
1.0
-2.2808 -0.1716 5.2290
-4.9227 -1.2624 -2.1886
1.2608 -5.5541 0.3677
Na Sn Zr Cd
1 1 1 2
Direct
0.5000 0.5000 0.5000
0.0000 0.5000 0.0000
0.0000 0.0000 0.0000
0.0000 0.0000 0.5000
0.5000 0.0000 0.0000
```

Uncorrected energy ... -0.20258 Ry per atom



[2]
DFT (PBE) results for a relaxed structure of Th3AlSe6.

The structure in POSCAR format:
```
Th3AlSe6
1.0
-7.6555 -3.2264 1.4686
1.5917 0.0734 8.2846
-3.1592 7.8061 0.5069
Th Al Se
6 2 12
Direct
0.4312 0.9280 0.7586
0.9280 0.7586 0.4312
0.2414 0.5688 0.0720
0.7586 0.4312 0.9280
0.0720 0.2414 0.5688
0.5688 0.0720 0.2414
0.0000 0.0000 0.0000
0.5000 0.5000 0.5000
0.3015 0.9147 0.0888
0.0853 0.9112 0.6985
0.5864 0.8054 0.4626
0.9112 0.6985 0.0853
0.4626 0.5864 0.8054
0.1946 0.5374 0.4136
0.8054 0.4626 0.5864
0.5374 0.4136 0.1946
0.0888 0.3015 0.9147
0.4136 0.1946 0.5374
0.9147 0.0888 0.3015
0.6985 0.0853 0.9112
```

ΔE_f (raw) ... -1.3237 eV per atom
Uncorrected energy ... -0.44207 Ry per atom